The following is a DFT calculation (GGA+U) of a relaxed structure of CoSi2HO6.

Calculated values
- space group = No. 15
- crystal system = monoclinic
- total DFT energy (no corrections) (eV per atom) = -6.9055

Cell and atoms, written as extended XYZ:
```
20
Lattice="5.0951 -5.4620 0.0000 5.0951 5.4620 0.0000 -1.5950 0.0000 4.8753" Properties=species:S:1:pos:R:3 pbc="T T T"
Co 3.8988 2.9406 3.6565
Co 4.6963 -2.9406 1.2188
Si 2.4443 0.9238 1.7310
Si 1.6468 -0.9238 4.1687
Si 6.9483 0.9238 0.7066
Si 6.1508 -0.9238 3.1443
H 4.6963 1.8969 1.2188
H 3.8988 -1.8969 3.6565
O 2.2646 3.6480 3.7618
O 3.7764 1.8623 2.0108
O 2.0158 0.2985 3.1694
O 5.5331 3.6480 3.5512
O 2.8133 -0.2985 0.7317
O 5.6162 1.8623 0.4269
O 2.9789 -1.8623 4.4484
O 5.7818 0.2985 4.1436
O 3.0621 -3.6480 1.3241
O 6.5793 -0.2985 1.7059
O 4.8187 -1.8623 2.8645
O 6.3306 -3.6480 1.1136
```